1.
Here is a geometry-optimized Be2Tc2As structure from Alexandria via LeMat-Bulk. Energies are from GGA-PBE.

Values from the calculation:
ΔE_f: -0.12 eV/atom
magnetization: 0.00 Bohr magnetons per cell
calculated volume: 11.6 Å³ per atom

```
Be2Tc2As
1.0
5.984 0.000 0.000
0.000 5.984 0.000
0.000 0.000 3.239
Be As Tc
4 2 4
Cartesian
2.279 5.271 0.000
5.271 3.704 0.000
3.704 0.712 0.000
0.712 2.279 0.000
0.000 0.000 0.000
2.992 2.992 0.000
1.063 4.055 1.620
4.055 4.920 1.620
4.920 1.928 1.620
1.928 1.063 1.620
```

***

2.
Here is a geometry-optimized TlMo2Ru structure from Alexandria via LeMat-Bulk. Energies are from GGA-PBE.

Values from the calculation:
ΔE_f: 0.46 eV/atom
magnetization: 0.00 Bohr magnetons per cell
calculated volume: 16.7 Å³ per atom
energy above the most stable polymorph in this dataset: 0.067 eV per atom

```
TlMo2Ru
1.0
5.389 0.004 -0.009
2.609 4.716 0.009
-3.614 -3.014 2.628
Mo Ru Tl
2 1 1
Cartesian
7.941 4.685 0.000
4.057 2.393 0.000
2.888 -0.325 1.309
1.498 2.031 1.318
```

***

3.
Here is a geometry-optimized PrGdYHo structure from Alexandria via LeMat-Bulk. Energies are from GGA-PBE.

Values from the calculation:
ΔE_f: 0.10 eV/atom
magnetization: 7.73 Bohr magnetons per cell
calculated volume: 33.3 Å³ per atom

```
PrGdYHo
1.0
-2.881 0.103 -4.955
2.376 -2.173 -4.742
-2.020 -4.873 -2.243
Pr Y Gd Ho
1 1 1 1
Cartesian
0.000 0.000 0.000
-1.894 -5.208 -8.955
-1.263 -3.472 -5.970
-0.631 -1.736 -2.985
```

***

4.
Here is a geometry-optimized Nb2NiPt7 structure from Alexandria via LeMat-Bulk. Energies are from GGA-PBE.

Values from the calculation:
ΔE_f: 0.10 eV/atom
magnetization: 0.00 Bohr magnetons per cell
calculated volume: 19.4 Å³ per atom

```
Nb2NiPt7
1.0
3.846 0.000 0.000
0.000 7.799 -0.549
0.000 -3.933 6.757
Nb Ni Pt
2 1 7
Cartesian
1.923 4.192 1.697
1.923 -0.326 4.511
0.000 0.000 0.000
0.000 5.577 0.835
0.000 -1.711 5.373
1.923 -0.422 1.907
1.923 4.288 4.301
1.923 1.898 0.462
1.923 1.968 5.746
1.923 1.933 3.104
```